## 1
A plane-wave DFT calculation with PBE was carried out for an optimized crystal structure of CdH2Os.

## Properties
Fermi-level density of states: 1.9 states/eV/f.u.

a = 3.8868 Å, b = 3.8868 Å, c = 3.8868 Å
α = 60.00°, β = 60.00°, γ = 60.00°
Last column: nearest neighbours and their distance in Å.
Atoms (fractional coordinates):
Os 0.5000 0.5000 0.5000  8 H 2.38
Cd 0.0000 0.0000 0.0000  8 H 2.38
H 0.2500 0.2500 0.2500  4 Cd 2.38, 4 Os 2.38
H 0.7500 0.7500 0.7500  4 Cd 2.38, 4 Os 2.38

=====

## 2
A plane-wave DFT calculation with PBE was carried out for an optimized crystal structure of CdH2Os.

## Properties
Fermi-level density of states: 0.6 states/eV/f.u.

a = 4.3351 Å, b = 4.3351 Å, c = 5.5493 Å
α = 67.01°, β = 67.01°, γ = 90.00°
Last column: nearest neighbours and their distance in Å.
Atoms (fractional coordinates):
H 0.3750 0.2837 0.7500  2 Os 1.73
Os 0.0000 0.0000 0.0000  4 H 1.73
Os 0.7500 0.2500 0.5000  4 H 1.73
H 0.7163 0.1250 0.2500  2 Os 1.73
H 0.0337 0.6250 0.2500  2 Os 1.73
H 0.8750 0.9663 0.7500  2 Os 1.73
Cd 0.5000 0.5000 0.0000  4 H 2.17
Cd 0.2500 0.7500 0.5000  4 H 2.17

=====

2 is the most stable structure; the next one sits 627 meV per atom above it.

=====

## 1
A plane-wave DFT calculation with PBE was carried out for an optimized crystal structure of CdP2H2.

a = 4.2150 Å, b = 4.3844 Å, c = 5.5854 Å
α = 106.82°, β = 97.83°, γ = 109.34°
Last column: nearest neighbours and their distance in Å.
Atoms (fractional coordinates):
H 0.3814 0.6895 0.8711  1 P 1.43
P 0.9909 0.4486 0.1829  1 H 1.43
P 0.0091 0.5514 0.8171  1 H 1.43
H 0.6186 0.3105 0.1289  1 P 1.43
Cd 0.0000 0.0000 0.5000  2 P 2.53

=====

## 2
A plane-wave DFT calculation with PBE was carried out for an optimized crystal structure of CdP2H2.

a = 4.3612 Å, b = 4.4009 Å, c = 5.7914 Å
α = 96.91°, β = 106.33°, γ = 119.26°
Last column: nearest neighbours and their distance in Å.
Atoms (fractional coordinates):
P 0.4491 0.1352 0.4369  2 H 1.43
H 0.1315 0.1204 0.4742  1 P 1.43
P 0.2161 0.8791 0.0254  1 P 2.20
H 0.6412 0.5145 0.4554  1 P 1.43
Cd 0.8243 0.1697 0.9229  4 P 2.58-2.77

=====

## 3
A plane-wave DFT calculation with PBE was carried out for an optimized crystal structure of CdP2H2.

## Properties
Fermi-level density of states: 0.8 states/eV/f.u.

a = 5.6865 Å, b = 5.4461 Å, c = 5.5660 Å
α = 90.00°, β = 113.68°, γ = 90.00°
Last column: nearest neighbours and their distance in Å.
Atoms (fractional coordinates):
P 0.0193 0.5000 0.5984  1 P 2.20
H 0.4617 0.8058 0.0376  1 P 1.44
P 0.4352 0.5000 0.6992  2 H 1.44
P 0.4352 0.0000 0.1992  2 H 1.44
H 0.4617 0.1942 0.0376  1 P 1.44
P 0.0193 0.0000 0.0984  1 P 2.20
H 0.4617 0.3058 0.5376  1 P 1.44
H 0.4617 0.6942 0.5376  1 P 1.44
Cd 0.9369 0.5000 0.0755  5 P 2.76-2.88
Cd 0.9369 0.0000 0.5755  5 P 2.76-2.88

=====

## 4
A plane-wave DFT calculation with PBE was carried out for an optimized crystal structure of CdP2H2.

## Properties
Fermi-level density of states: 0.5 states/eV/f.u.

a = 8.2616 Å, b = 2.7223 Å, c = 7.4559 Å
α = 90.00°, β = 100.53°, γ = 90.00°
Last column: nearest neighbours and their distance in Å.
Atoms (fractional coordinates):
P 0.3640 0.0000 0.9661  1 H 1.43
H 0.3566 0.5000 0.2725  1 P 1.43
H 0.6434 0.5000 0.7275  1 P 1.43
Cd 0.0000 0.0000 0.0000  2 Cd 2.72
P 0.3640 0.5000 0.4661  1 H 1.43
H 0.3566 0.0000 0.7725  1 P 1.43
P 0.6360 0.5000 0.5339  1 H 1.43
P 0.6360 0.0000 0.0339  1 H 1.43
Cd 0.0000 0.5000 0.5000  2 Cd 2.72
H 0.6434 0.0000 0.2275  1 P 1.43

=====

2 is the most stable structure; the next one sits 85 meV per atom above it.

=====

## 1
A plane-wave DFT calculation with PBE was carried out for an optimized crystal structure of CdP2H2.

## Properties
Fermi-level density of states: 0.0 states/eV/f.u.

a = 4.4638 Å, b = 6.3034 Å, c = 5.6809 Å
α = 56.32°, β = 67.51°, γ = 45.10°
Last column: nearest neighbours and their distance in Å.
Atoms (fractional coordinates):
P 0.9828 0.9075 0.2091  1 H 1.43
Cd 0.5621 0.5552 0.9371  4 P 2.58-2.64
P 0.1415 0.6000 0.6650  1 H 1.43
H 0.4537 0.2797 0.6653  1 P 1.43
H 0.6705 0.8996 0.2087  1 P 1.43

=====

## 2
A plane-wave DFT calculation with PBE was carried out for an optimized crystal structure of CdP2H2.

## Properties
Fermi-level density of states: 1.0 states/eV/f.u.

a = 3.3052 Å, b = 4.9228 Å, c = 5.7590 Å
α = 114.30°, β = 105.91°, γ = 90.99°
Last column: nearest neighbours and their distance in Å.
Atoms (fractional coordinates):
H 0.2858 0.5098 0.2595  1 H 0.76
H 0.1210 0.4651 0.3124  1 H 0.76
P 0.8040 0.1246 0.4571  2 P 2.19
P 0.4256 0.1122 0.7117  2 P 2.19
Cd 0.5447 0.7157 0.9445  3 P 2.68-2.77, 1 H 2.72

=====

1 is the most stable structure; the next one sits 189 meV per atom above it.

=====

## 1
A plane-wave DFT calculation with PBE was carried out for an optimized crystal structure of CdP2H2.

## Properties
Fermi-level density of states: 1.2 states/eV/f.u.

a = 2.7606 Å, b = 8.4189 Å, c = 7.4009 Å
α = 90.00°, β = 110.33°, γ = 90.00°
Last column: nearest neighbours and their distance in Å.
Atoms (fractional coordinates):
H 0.9844 0.1523 0.8853  1 P 1.44
Cd 0.2466 0.0000 0.5504  2 Cd 2.76, 4 H 2.90-3.09
H 0.9844 0.6523 0.3853  1 P 1.44
H 0.9844 0.3477 0.3853  1 P 1.44
P 0.1808 0.1314 0.0907  1 H 1.44
P 0.1808 0.6314 0.5907  1 H 1.44
Cd 0.2466 0.5000 0.0504  2 Cd 2.76, 4 H 2.90-3.09
P 0.1808 0.8686 0.0907  1 H 1.44
P 0.1808 0.3686 0.5907  1 H 1.44
H 0.9844 0.8477 0.8853  1 P 1.44

=====

## 2
A plane-wave DFT calculation with PBE was carried out for an optimized crystal structure of CdP2H2.

a = 3.2827 Å, b = 5.0371 Å, c = 5.6759 Å
α = 85.71°, β = 74.13°, γ = 89.64°
Last column: nearest neighbours and their distance in Å.
Atoms (fractional coordinates):
P 0.0489 0.1544 0.3582  1 H 1.44
H 0.9465 0.9770 0.5785  1 P 1.44
H 0.5794 0.7091 0.3035  1 P 1.44
P 0.6450 0.9598 0.1581  1 H 1.44
Cd 0.3286 0.5146 0.7910  3 H 2.77-3.05

=====

2 is the most stable structure; the next one sits 80 meV per atom above it.

=====

## 1
A plane-wave DFT calculation with PBE was carried out for an optimized crystal structure of CdP2H.

## Properties
Fermi-level density of states: 1.5 states/eV/f.u.

a = 4.4193 Å, b = 4.4193 Å, c = 4.4193 Å
α = 60.00°, β = 60.00°, γ = 60.00°
Last column: nearest neighbours and their distance in Å.
Atoms (fractional coordinates):
H 0.0000 0.0000 0.0000  8 P 2.71
Cd 0.5000 0.5000 0.5000  8 P 2.71
P 0.7500 0.7500 0.7500  4 Cd 2.71, 4 H 2.71
P 0.2500 0.2500 0.2500  4 Cd 2.71, 4 H 2.71

=====

## 2
A plane-wave DFT calculation with PBE was carried out for an optimized crystal structure of CdP2H.

## Properties
Fermi-level density of states: 0.9 states/eV/f.u.

a = 4.3673 Å, b = 4.3673 Å, c = 7.3897 Å
α = 72.81°, β = 72.81°, γ = 90.00°
Last column: nearest neighbours and their distance in Å.
Atoms (fractional coordinates):
P 0.8750 0.7292 0.7500  2 H 2.05
Cd 0.7500 0.2500 0.5000  4 P 2.65
H 0.2500 0.7500 0.5000  4 P 2.05
P 0.3750 0.5208 0.7500  2 H 2.05
Cd 0.0000 0.0000 0.0000  4 P 2.65
P 0.2708 0.6250 0.2500  2 H 2.05
P 0.4792 0.1250 0.2500  2 H 2.05
H 0.5000 0.5000 0.0000  4 P 2.05

=====

2 is the most stable structure; the next one sits 500 meV per atom above it.

=====

## 1
A plane-wave DFT calculation with PBE was carried out for an optimized crystal structure of CdSn2PH.

## Properties
Fermi-level density of states: 2.4 states/eV/f.u.

a = 5.6533 Å, b = 4.8120 Å, c = 5.6533 Å
α = 90.00°, β = 90.00°, γ = 90.00°
Last column: nearest neighbours and their distance in Å.
Atoms (fractional coordinates):
Cd 0.0000 0.0000 0.0000  2 P 2.41
Sn 0.5000 0.0000 0.0000  2 Cd 2.83
H 0.5000 0.5000 0.5000  8 Sn 3.71, 4 P 4.00
Sn 0.0000 0.0000 0.5000  2 Cd 2.83
P 0.0000 0.5000 0.0000  2 Cd 2.41

=====

## 2
A plane-wave DFT calculation with PBE was carried out for an optimized crystal structure of CdSn2PH.

## Properties
Fermi-level density of states: 2.4 states/eV/f.u.

a = 5.2304 Å, b = 3.5944 Å, c = 5.2304 Å
α = 90.00°, β = 90.00°, γ = 90.00°
Last column: nearest neighbours and their distance in Å.
Atoms (fractional coordinates):
Sn 0.5000 0.0000 0.0000  2 H 2.62
H 0.0000 0.0000 0.0000  2 P 1.80
Sn 0.0000 0.0000 0.5000  2 H 2.62
P 0.0000 0.5000 0.0000  2 H 1.80
Cd 0.5000 0.5000 0.5000  8 Sn 3.17

=====

2 is the most stable structure; the next one sits 782 meV per atom above it.

=====

## 1
A plane-wave DFT calculation with PBE was carried out for an optimized crystal structure of CdHPb.

## Properties
Fermi-level density of states: 0.5 states/eV/f.u.

a = 3.5210 Å, b = 3.5221 Å, c = 12.2485 Å
α = 83.85°, β = 95.83°, γ = 122.21°
Last column: nearest neighbours and their distance in Å.
Atoms (fractional coordinates):
H 0.3192 0.8048 0.2957  3 Cd 2.00-2.02
Cd 0.6830 0.4354 0.5029  9 Cd 3.17-3.52, 3 H 3.19-3.25, 3 Pb 3.28-3.33
Cd 0.9947 0.1304 0.2952  4 H 1.89-2.02
H 0.9509 0.1776 0.1398  1 Cd 1.89, 1 Pb 2.06
Pb 0.8811 0.2315 0.9704  1 H 2.06
Pb 0.4090 0.6961 0.7187  3 Cd 3.28-3.33, 8 Pb 3.40-3.56

=====

## 2
A plane-wave DFT calculation with PBE was carried out for an optimized crystal structure of CdHPb.

## Properties
Fermi-level density of states: 1.3 states/eV/f.u.

a = 3.2927 Å, b = 4.7907 Å, c = 8.8587 Å
α = 105.42°, β = 101.69°, γ = 89.95°
Last column: nearest neighbours and their distance in Å.
Atoms (fractional coordinates):
Pb 0.5987 0.1023 0.7040  2 Cd 3.06-3.07, 4 H 3.09-3.31, 3 Pb 3.29-3.41
Cd 0.2877 0.2842 0.0677  2 Pb 3.06-3.07, 6 Cd 3.11-3.29
Pb 0.4013 0.8977 0.2960  2 Cd 3.06-3.07, 4 H 3.09-3.31, 3 Pb 3.29-3.41
H 0.9765 0.5018 0.4565  1 H 0.76
H 0.0235 0.4982 0.5435  1 H 0.76
Cd 0.7123 0.7158 0.9323  2 Pb 3.06-3.07, 6 Cd 3.11-3.29

=====

2 is the most stable structure; the next one sits 108 meV per atom above it.

=====

## 1
A plane-wave DFT calculation with PBE was carried out for an optimized crystal structure of Cd2H2Pb.

## Properties
Fermi-level density of states: 1.3 states/eV/f.u.

a = 4.9070 Å, b = 4.8819 Å, c = 7.9510 Å
α = 111.31°, β = 73.10°, γ = 119.67°
Last column: nearest neighbours and their distance in Å.
Atoms (fractional coordinates):
H 0.9912 0.0040 0.5496  1 H 0.76
H 0.0088 0.9960 0.4504  1 H 0.76
Cd 0.6287 0.4007 0.1446  3 Pb 3.02-3.03, 1 H 3.16
Cd 0.3713 0.5993 0.8554  3 Pb 3.02-3.03, 1 H 3.16
Pb 0.0000 0.0000 0.0000  6 Cd 3.02-3.03

=====

## 2
A plane-wave DFT calculation with PBE was carried out for an optimized crystal structure of Cd2H2Pb.

## Properties
Fermi-level density of states: 1.0 states/eV/f.u.

a = 3.5477 Å, b = 3.5477 Å, c = 7.4333 Å
α = 76.19°, β = 76.19°, γ = 90.00°
Last column: nearest neighbours and their distance in Å.
Atoms (fractional coordinates):
Cd 0.6597 0.6597 0.6806  4 H 2.18
H 0.7500 0.2500 0.5000  4 Cd 2.18
Cd 0.3403 0.3403 0.3194  4 H 2.18
H 0.2500 0.7500 0.5000  4 Cd 2.18
Pb 0.0000 0.0000 0.0000  8 Cd 3.36, 4 Pb 3.55

=====

## 3
A plane-wave DFT calculation with PBE was carried out for an optimized crystal structure of Cd2H2Pb.

## Properties
Fermi-level density of states: 0.6 states/eV/f.u.

a = 7.7589 Å, b = 7.7589 Å, c = 3.2455 Å
α = 90.00°, β = 90.00°, γ = 90.00°
Last column: nearest neighbours and their distance in Å.
Atoms (fractional coordinates):
H 0.2688 0.2312 0.0000  2 Cd 2.00
Cd 0.6242 0.8758 0.5000  2 H 2.00
Pb 0.0000 0.0000 0.0000  4 H 2.75
Cd 0.8758 0.3758 0.5000  2 H 2.00
Cd 0.3758 0.1242 0.5000  2 H 2.00
H 0.2312 0.7312 0.0000  2 Cd 2.00
Cd 0.1242 0.6242 0.5000  2 H 2.00
H 0.7688 0.2688 0.0000  2 Cd 2.00
Pb 0.5000 0.5000 0.0000  4 H 2.75
H 0.7312 0.7688 0.0000  2 Cd 2.00

=====

1 is the most stable structure; the next one sits 91 meV per atom above it.